[1]
{
  "formula": "ErTm3Mg7",
  "functional": "PBE-GGA",
  "state": "optimized geometry",
  "crystal_system": "monoclinic",
  "de_polymorph_ev_per_atom": 0.1032,
  "space_group": "C2/m, No. 12",
  "lattice": [[5.374, -5.064, 0.000], [5.374, 5.064, 0.000], [-1.884, 0.000, 5.690]],
  "species": ["Er", "Tm", "Tm", "Tm", "Mg", "Mg", "Mg", "Mg", "Mg", "Mg", "Mg"],
  "frac_coords": [[0.000, 0.000, 0.000], [0.308, 0.692, 0.500], [0.500, 0.500, 0.000], [0.692, 0.308, 0.500], [0.000, 0.000, 0.500], [0.065, 0.552, 0.811], [0.263, 0.263, 0.476], [0.448, 0.935, 0.189], [0.552, 0.065, 0.811], [0.737, 0.737, 0.524], [0.935, 0.448, 0.189]]
}

=====

[2]
{
  "formula": "ErTm5Mg3",
  "functional": "PBE-GGA",
  "state": "optimized geometry",
  "crystal_system": "monoclinic",
  "space_group": "C2/m, No. 12",
  "energy_ev_per_cell": -56.5,
  "lattice": [[5.640, -4.528, 0.000], [5.640, 4.528, 0.000], [-2.961, 0.000, 11.472]],
  "species": ["Er", "Er", "Tm", "Tm", "Tm", "Tm", "Tm", "Tm", "Tm", "Tm", "Tm", "Tm", "Mg", "Mg", "Mg", "Mg", "Mg", "Mg"],
  "frac_coords": [[0.118, 0.118, 0.265], [0.882, 0.882, 0.735], [0.007, 0.641, 0.202], [0.276, 0.276, 0.068], [0.307, 0.693, 0.000], [0.359, 0.993, 0.798], [0.413, 0.413, 0.367], [0.587, 0.587, 0.633], [0.641, 0.007, 0.202], [0.693, 0.307, 0.000], [0.724, 0.724, 0.932], [0.993, 0.359, 0.798], [0.000, 0.000, 0.000], [0.000, 0.000, 0.500], [0.263, 0.263, 0.560], [0.419, 0.419, 0.789], [0.581, 0.581, 0.211], [0.737, 0.737, 0.440]]
}

=====

Number 1: density of states at the Fermi level 0.8595 states/eV per atom. Number 2: density of states at the Fermi level 1.1567 states/eV per atom.